No. 1
## EuNi3C (PBE)

Data for a geometry-optimized EuNi3C structure.

**DFT formation energy**: 0.07 eV per atom
**N(E_F)**: 15.19 states/eV/cell

```
5
Lattice="-3.221 -2.377 0.322 2.253 -3.183 -0.958 0.822 -0.587 3.887" Properties=species:S:1:pos:R:3 pbc="T T T"
Ni 0.411 -0.294 1.943
Ni -1.610 -1.188 0.161
Ni 1.127 -1.592 -0.479
C 0.000 0.000 0.000
Eu -0.073 -3.074 1.626
```


No. 2
## Al2PbSe2 (PBE)

Data for a geometry-optimized Al2PbSe2 structure.

**Energy above the lowest structure with this stoichiometry**: 0.011 eV per atom
**Energy relative to the elements, uncorrected**: -0.033 eV/atom
**N(E_F)**: 2.35 states/eV/cell

```
5
Lattice="-3.288 0.376 -3.189 -0.733 -4.532 0.221 -6.057 -1.215 2.790" Properties=species:S:1:pos:R:3 pbc="T T T"
Al -5.677 -1.458 -0.942
Pb 0.000 0.000 0.000
Se -3.202 -1.824 -0.226
Se -6.875 -3.547 0.047
Al -4.400 -3.912 0.763
```


No. 3
## ScBe2As (PBE)

Data for a geometry-optimized ScBe2As structure.

**DFT formation energy**: -0.28 eV per atom
**N(E_F)**: 0.67 states/eV/cell

```
4
Lattice="5.267 -0.004 -0.002 3.971 3.460 -0.002 3.971 1.486 3.125" Properties=species:S:1:pos:R:3 pbc="T T T"
As 9.450 3.536 2.233
Be 3.942 1.475 0.931
Be 12.797 4.789 3.023
Sc 6.833 2.557 1.614
```


No. 4
## Rb3GaC (PBE)

Data for a geometry-optimized Rb3GaC structure.

**DFT formation energy**: 1.04 eV per atom
**Energy above the lowest structure with this stoichiometry**: 0.000 eV per atom
**N(E_F)**: 6.32 states/eV/cell

```
5
Lattice="6.127 0.000 0.000 0.000 6.127 0.000 0.000 0.000 6.127" Properties=species:S:1:pos:R:3 pbc="T T T"
Rb 0.000 0.000 3.064
C 0.000 0.000 0.000
Rb 0.000 3.064 0.000
Rb 3.064 0.000 0.000
Ga 3.064 3.064 3.064
```


No. 5
## SnPtS2N (PBE)

Data for a geometry-optimized SnPtS2N structure.

**Energy above the lowest structure with this stoichiometry**: 0.929 eV per atom
**Energy relative to the elements, uncorrected**: 1.315 eV/atom
**N(E_F)**: 9.17 states/eV/cell

```
5
Lattice="5.047 0.000 0.000 0.000 5.047 0.000 0.000 0.000 3.873" Properties=species:S:1:pos:R:3 pbc="T T T"
Sn 0.000 0.000 0.000
N 0.000 0.000 1.936
S 2.523 0.000 0.000
Pt 2.523 2.523 1.936
S 0.000 2.523 0.000
```


No. 6
## TbAg2O3 (PBE)

Data for a geometry-optimized TbAg2O3 structure.

**Energy relative to the elements, uncorrected**: -0.920 eV/atom
**N(E_F)**: 6.88 states/eV/cell

```
12
Lattice="-3.274 1.094 -3.827 -2.205 -6.145 0.131 -2.596 4.795 3.592" Properties=species:S:1:pos:R:3 pbc="T T T"
O -3.839 2.086 -1.325
Ag -3.592 -1.010 2.786
O -5.000 4.160 0.262
O -5.992 1.480 0.344
Ag -5.230 -0.463 0.872
Ag -1.209 -0.340 0.938
O -4.237 -2.341 1.221
O -2.085 -1.736 -0.448
Tb -3.315 2.277 1.752
O -3.076 -4.416 -0.365
Ag -2.846 0.207 -0.976
Tb -4.761 -2.533 -1.856
```


Question: The highest N(E_F) belongs to which entry?
Answer: EuNi3C


Please write out number 3 again, unchanged.
## ScBe2As (PBE)

Data for a geometry-optimized ScBe2As structure.

**DFT formation energy**: -0.28 eV per atom
**N(E_F)**: 0.67 states/eV/cell

```
4
Lattice="5.267 -0.004 -0.002 3.971 3.460 -0.002 3.971 1.486 3.125" Properties=species:S:1:pos:R:3 pbc="T T T"
As 9.450 3.536 2.233
Be 3.942 1.475 0.931
Be 12.797 4.789 3.023
Sc 6.833 2.557 1.614
```


Question: The lowest N(E_F) belongs to which entry?
Answer: ScBe2As